No. 1
Re2TeOs: relaxed, GGA-PBE.

Summary:
Raw formation energy ... 0.6616 eV/atom
Spin magnetization ... 0.00 μB/f.u.
Crystal system ... trigonal

Cell: 8.8966 8.8966 8.8966 Å, 19.05 19.05 19.05°
Element x y z (fractional)
Os  0.7500  0.7500  0.7500
Re  0.0030  0.0030  0.0030
Re  0.4970  0.4970  0.4970
Te  0.2500  0.2500  0.2500

=====

No. 2
ReTeOs: relaxed, GGA-PBE.

Summary:
Raw formation energy ... 0.6626 eV/atom
Spin magnetization ... 0.00 μB/f.u.
Crystal system ... tetragonal

Cell: 6.2620 6.2620 6.2620 Å, 152.22 152.22 39.69°
Element x y z (fractional)
Os  0.9798  0.9798  0.0000
Re  0.3508  0.3508  0.0000
Te  0.6694  0.6694  0.0000

=====

No. 3
Re2TeOs: relaxed, GGA-PBE.

Summary:
Raw formation energy ... 0.8157 eV/atom
Spin magnetization ... 0.00 μB/f.u.
Crystal system ... orthorhombic

Cell: 5.3967 5.3967 5.3967 Å, 146.82 130.17 61.18°
Element x y z (fractional)
Os  0.2500  0.7500  0.5000
Re  0.9789  0.9789  0.0000
Re  0.5211  0.5211  0.0000
Te  0.7500  0.2500  0.5000

=====

No. 4
ReTeOs2: relaxed, GGA-PBE.

Summary:
Raw formation energy ... 0.7773 eV/atom
Spin magnetization ... 0.00 μB/f.u.
Crystal system ... orthorhombic

Cell: 2.8733 3.7351 6.3069 Å, 90.00 90.00 90.00°
Element x y z (fractional)
Os  0.0000  0.0000  0.0380
Os  0.5000  0.5000  0.2491
Re  0.0000  0.0000  0.4567
Te  0.5000  0.5000  0.7562

=====

No. 5
ReTeOs2: relaxed, GGA-PBE.

Summary:
Raw formation energy ... 0.8576 eV/atom
Spin magnetization ... 0.00 μB/f.u.
Crystal system ... tetragonal

Cell: 4.8069 4.8069 4.8069 Å, 129.85 129.85 73.64°
Element x y z (fractional)
Os  0.0000  0.0000  0.0000
Os  0.2500  0.7500  0.5000
Re  0.5000  0.5000  0.0000
Te  0.7500  0.2500  0.5000

=====

No. 6
Re2TeOs: relaxed, GGA-PBE.

Summary:
Raw formation energy ... 0.9411 eV/atom
Spin magnetization ... 0.00 μB/f.u.
Crystal system ... orthorhombic

Cell: 2.8357 2.8357 9.6789 Å, 90.00 90.00 117.51°
Element x y z (fractional)
Os  0.5000  0.5000  0.7731
Re  0.0000  0.0000  0.9994
Re  0.5000  0.5000  0.2231
Te  0.0000  0.0000  0.5045

=====

No. 7
Re3TeOs: relaxed, GGA-PBE.

Summary:
Raw formation energy ... 2.1305 eV/atom
Spin magnetization ... 0.22 μB/f.u.
Crystal system ... cubic

Cell: 4.7533 4.7533 4.7533 Å, 90.00 90.00 90.00°
Last column: magnetic moment on the atom in μB.
Element x y z (fractional)
Re  0.0000  0.5000  0.0000  0.09
Re  0.0000  0.0000  0.5000  0.06
Re  0.5000  0.0000  0.0000  0.08
Te  0.5000  0.5000  0.5000  -0.01
Os  0.0000  0.0000  0.0000  -0.01

=====

No. 8
Re2TeOs: relaxed, GGA-PBE.

Summary:
Raw formation energy ... 0.7315 eV/atom
Spin magnetization ... 0.00 μB/f.u.
Crystal system ... orthorhombic

Cell: 2.9544 3.8415 5.9023 Å, 90.00 90.00 90.00°
Element x y z (fractional)
Os  0.5000  0.5000  0.7906
Re  0.0000  0.0000  0.9818
Re  0.5000  0.5000  0.2316
Te  0.0000  0.0000  0.4960